Version w
A plane-wave DFT calculation with GGA-PBE was carried out for a geometry-optimized Zn5C structure.

Properties
- volume (Å³/atom) = 13.737
- total magnetic moment (Bohr magnetons per cell) = 0.0

a = 2.7344 Å, b = 2.7344 Å, c = 11.0239 Å
α = 90.00°, β = 90.00°, γ = 90.00°
Last column: nearest neighbours and their distance in Å.
Element x y z (fractional)
Zn1 0.0000 0.0000 0.8775  4 C 2.36
Zn2 0.0000 0.0000 0.1225  4 C 2.36
Zn3 0.5000 0.5000 0.6872  12 Zn 2.73-2.85
Zn4 0.5000 0.5000 0.3128  12 Zn 2.73-2.85
Zn5 0.0000 0.0000 0.5000  12 Zn 2.73-2.83
C1 0.5000 0.5000 0.0000  8 Zn 2.36

Version x
A plane-wave DFT calculation with GGA-PBE was carried out for a geometry-optimized Zn5C structure.

Properties
- volume (Å³/atom) = 15.653
- total magnetic moment (Bohr magnetons per cell) = 0.1

a = 4.8370 Å, b = 4.8370 Å, c = 4.6352 Å
α = 90.00°, β = 90.00°, γ = 120.00°
Last column: nearest neighbours and their distance in Å.
Element x y z (fractional)
Zn1 0.3333 0.6667 0.0000  9 Zn 2.71-2.79, 3 C 2.79
Zn2 0.6667 0.3333 0.0000  9 Zn 2.71-2.79, 3 C 2.79
Zn3 0.5000 0.0000 0.5000  8 Zn 2.42-2.71
Zn4 0.0000 0.5000 0.5000  8 Zn 2.42-2.71
Zn5 0.5000 0.5000 0.5000  8 Zn 2.42-2.71
C1 0.0000 0.0000 0.0000  6 Zn 2.79

Version y
A plane-wave DFT calculation with GGA-PBE was carried out for a geometry-optimized Zn5C structure.

Properties
- volume (Å³/atom) = 13.700
- total magnetic moment (Bohr magnetons per cell) = 0.0

a = 4.5999 Å, b = 4.5999 Å, c = 4.4858 Å
α = 90.00°, β = 90.00°, γ = 120.00°
Last column: nearest neighbours and their distance in Å.
Element x y z (fractional)
Zn1 0.6747 0.0000 0.0000  10 Zn 2.59-2.73, 2 C 2.70
Zn2 0.3253 0.3253 0.0000  10 Zn 2.59-2.73, 2 C 2.70
Zn3 0.0000 0.6747 0.0000  10 Zn 2.59-2.73, 2 C 2.70
Zn4 0.6667 0.3333 0.5000  9 Zn 2.66-2.73, 3 C 2.66
Zn5 0.3333 0.6667 0.5000  9 Zn 2.66-2.73, 3 C 2.66
C1 0.0000 0.0000 0.5000  12 Zn 2.66-2.70

The structure with the most favorable energy is version w; the runner-up is 0.098 eV/atom above it.

Version w
A plane-wave DFT calculation with GGA-PBE was carried out for a geometry-optimized Zn4C3 structure.

Properties
- volume (Å³/atom) = 12.557
- total magnetic moment (Bohr magnetons per cell) = 0.0

a = 3.8040 Å, b = 3.8040 Å, c = 7.0143 Å
α = 90.00°, β = 90.00°, γ = 120.00°
Last column: nearest neighbours and their distance in Å.
Element x y z (fractional)
Zn1 0.0000 0.0000 0.2324  6 C 2.50
Zn2 0.0000 0.0000 0.7676  6 C 2.50
Zn3 0.6667 0.3333 0.5000  3 Zn 2.20
Zn4 0.3333 0.6667 0.5000  3 Zn 2.20
C1 0.0000 0.5000 0.0000  4 C 1.90
C2 0.5000 0.5000 0.0000  4 C 1.90
C3 0.5000 0.0000 0.0000  4 C 1.90

Version x
A plane-wave DFT calculation with GGA-PBE was carried out for a geometry-optimized Zn4C3 structure.

Properties
- volume (Å³/atom) = 11.852
- total magnetic moment (Bohr magnetons per cell) = 0.0

a = 4.3614 Å, b = 4.3614 Å, c = 4.3614 Å
α = 90.00°, β = 90.00°, γ = 90.00°
Last column: nearest neighbours and their distance in Å.
Element x y z (fractional)
Zn1 0.0000 0.0000 0.0000  6 C 2.18
Zn2 0.0000 0.5000 0.5000  4 C 2.18
Zn3 0.5000 0.0000 0.5000  4 C 2.18
Zn4 0.5000 0.5000 0.0000  4 C 2.18
C1 0.0000 0.5000 0.0000  6 Zn 2.18
C2 0.0000 0.0000 0.5000  6 Zn 2.18
C3 0.5000 0.0000 0.0000  6 Zn 2.18

Version y
A plane-wave DFT calculation with GGA-PBE was carried out for a geometry-optimized Zn4C3 structure.

Properties
- volume (Å³/atom) = 16.423
- total magnetic moment (Bohr magnetons per cell) = 0.0

a = 4.8624 Å, b = 4.8624 Å, c = 4.8624 Å
α = 90.00°, β = 90.00°, γ = 90.00°
Last column: nearest neighbours and their distance in Å.
Element x y z (fractional)
Zn1 0.2938 0.7062 0.2938  3 C 2.01
Zn2 0.7062 0.2938 0.2938  3 C 2.01
Zn3 0.7062 0.7062 0.7062  3 C 2.01
Zn4 0.2938 0.2938 0.7062  3 C 2.01
C1 0.5000 0.0000 0.5000  4 Zn 2.01
C2 0.5000 0.5000 0.0000  4 Zn 2.01
C3 0.0000 0.5000 0.5000  4 Zn 2.01

Version z
A plane-wave DFT calculation with GGA-PBE was carried out for a geometry-optimized Zn4C3 structure.

Properties
- volume (Å³/atom) = 11.701
- total magnetic moment (Bohr magnetons per cell) = 0.0

a = 9.8595 Å, b = 9.8595 Å, c = 9.8595 Å
α = 163.00°, β = 163.00°, γ = 24.13°
Last column: nearest neighbours and their distance in Å.
Element x y z (fractional)
Zn1 0.8046 0.8046 0.0000  4 C 2.11
Zn2 0.1954 0.1954 0.0000  4 C 2.11
Zn3 0.5658 0.5658 0.0000  1 C 2.04
Zn4 0.4342 0.4342 0.0000  1 C 2.04
C1 0.0000 0.0000 0.0000  8 Zn 2.42
C2 0.6716 0.6716 0.0000  5 Zn 2.04-2.11
C3 0.3284 0.3284 0.0000  5 Zn 2.04-2.11

The structure with the most favorable energy is version z; the runner-up is 0.036 eV/atom above it.

Version w
A plane-wave DFT calculation with GGA-PBE was carried out for a geometry-optimized Zn3C5 structure.

Properties
- volume (Å³/atom) = 13.802
- total magnetic moment (Bohr magnetons per cell) = 0.0

a = 6.7235 Å, b = 6.7235 Å, c = 5.6407 Å
α = 90.00°, β = 90.00°, γ = 120.00°
Last column: nearest neighbours and their distance in Å.
Element x y z (fractional)
Zn1 0.3895 0.9484 0.2500  3 C 2.01-2.21
Zn2 0.5582 0.9039 0.7500  3 C 1.92-2.13
Zn3 0.0516 0.4411 0.2500  3 C 2.01-2.21
Zn4 0.5589 0.6105 0.2500  3 C 2.01-2.21
Zn5 0.3458 0.4418 0.7500  3 C 1.92-2.13
Zn6 0.0960 0.6542 0.7500  3 C 1.92-2.13
C1 0.3333 0.6667 0.0076  6 Zn 2.13-2.21
C2 0.6667 0.3333 0.3639  1 C 1.28
C3 0.6667 0.3333 0.1361  1 C 1.28
C4 0.3333 0.6667 0.4924  6 Zn 2.13-2.21
C5 0.1097 0.9825 0.2500  2 C 1.39
C6 0.8789 0.9959 0.7500  2 C 1.39
C7 0.0175 0.1272 0.2500  2 C 1.39
C8 0.8728 0.8903 0.2500  2 C 1.39
C9 0.1170 0.1211 0.7500  2 C 1.39
C10 0.0041 0.8830 0.7500  2 C 1.39

Version x
A plane-wave DFT calculation with GGA-PBE was carried out for a geometry-optimized Zn3C5 structure.

Properties
- volume (Å³/atom) = 9.381
- total magnetic moment (Bohr magnetons per cell) = 0.0

a = 2.5185 Å, b = 2.5185 Å, c = 11.8325 Å
α = 90.00°, β = 90.00°, γ = 90.00°
Last column: nearest neighbours and their distance in Å.
Element x y z (fractional)
Zn1 0.0000 0.0000 0.5000  2 C 2.06
Zn2 0.5000 0.5000 0.1192  5 C 2.07-2.27
Zn3 0.5000 0.5000 0.8808  5 C 2.07-2.27
C1 0.0000 0.0000 0.0000  8 Zn 2.27, 4 C 2.52
C2 0.0000 0.0000 0.3258  4 C 1.82
C3 0.0000 0.0000 0.6742  4 C 1.82
C4 0.5000 0.5000 0.2941  4 C 1.82
C5 0.5000 0.5000 0.7059  4 C 1.82

Version y
A plane-wave DFT calculation with GGA-PBE was carried out for a geometry-optimized Zn3C5 structure.

Properties
- volume (Å³/atom) = 10.503
- total magnetic moment (Bohr magnetons per cell) = 0.0

a = 4.1243 Å, b = 4.1243 Å, c = 5.1679 Å
α = 90.00°, β = 90.00°, γ = 107.10°
Last column: nearest neighbours and their distance in Å.
Element x y z (fractional)
Zn1 0.5000 0.5000 0.0000  4 C 2.06
Zn2 0.8160 0.1840 0.5000  4 C 2.17-2.20
Zn3 0.1840 0.8160 0.5000  4 C 2.17-2.20
C1 0.0000 0.0000 0.0000  4 C 2.06
C2 0.0000 0.5000 0.0000  2 Zn 2.06, 2 C 2.06
C3 0.5000 0.0000 0.0000  2 C 2.06, 2 Zn 2.06
C4 0.3649 0.3649 0.5000  1 C 1.32
C5 0.6351 0.6351 0.5000  1 C 1.32

The structure with the most favorable energy is version w; the runner-up is 0.641 eV/atom above it.

Version w
A plane-wave DFT calculation with GGA-PBE was carried out for a geometry-optimized Zn5C3 structure.

Properties
- volume (Å³/atom) = 13.926
- total magnetic moment (Bohr magnetons per cell) = 0.0

a = 6.8278 Å, b = 5.6284 Å, c = 7.2988 Å
α = 90.00°, β = 90.00°, γ = 127.40°
Last column: nearest neighbours and their distance in Å.
Element x y z (fractional)
Zn1 0.2150 0.5002 0.0243  3 C 2.01-2.11
Zn2 0.7850 0.4998 0.5243  3 C 2.01-2.11
Zn3 0.7850 0.4998 0.9757  3 C 2.01-2.11
Zn4 0.2150 0.5002 0.4757  3 C 2.01-2.11
Zn5 0.1678 0.8891 0.2500  3 C 2.03-2.08
Zn6 0.8323 0.1109 0.7500  3 C 2.03-2.08
Zn7 0.7797 0.1134 0.2500  3 C 2.03-2.08
Zn8 0.5156 0.5033 0.2500  3 C 1.99-2.12
Zn9 0.4844 0.4967 0.7500  3 C 1.99-2.12
Zn10 0.2204 0.8866 0.7500  3 C 2.03-2.08
C1 0.4094 0.7853 0.2500  5 Zn 2.03-2.11
C2 0.5906 0.2147 0.7500  5 Zn 2.03-2.11
C3 0.8053 0.5007 0.2500  5 Zn 1.99-2.08
C4 0.1250 0.2162 0.2500  5 Zn 2.03-2.12
C5 0.8750 0.7838 0.7500  5 Zn 2.03-2.12
C6 0.1947 0.4993 0.7500  5 Zn 1.99-2.08

Version x
A plane-wave DFT calculation with GGA-PBE was carried out for a geometry-optimized Zn5C3 structure.

Properties
- volume (Å³/atom) = 13.852
- total magnetic moment (Bohr magnetons per cell) = 0.0

a = 2.8712 Å, b = 2.8712 Å, c = 13.4423 Å
α = 90.00°, β = 90.00°, γ = 90.00°
Last column: nearest neighbours and their distance in Å.
Element x y z (fractional)
Zn1 0.0000 0.0000 0.0000  6 Zn 2.87-2.95
Zn2 0.0000 0.0000 0.2191  4 C 2.08
Zn3 0.0000 0.0000 0.7809  4 C 2.08
Zn4 0.5000 0.5000 0.4056  1 C 2.05
Zn5 0.5000 0.5000 0.5944  1 C 2.05
C1 0.0000 0.0000 0.5000  8 Zn 2.39
C2 0.5000 0.5000 0.2530  5 Zn 2.05-2.08
C3 0.5000 0.5000 0.7470  5 Zn 2.05-2.08

The structure with the most favorable energy is version w; the runner-up is 0.316 eV/atom above it.

Version w
A plane-wave DFT calculation with GGA-PBE was carried out for a geometry-optimized Zn5C3 structure.

Properties
- volume (Å³/atom) = 11.849
- total magnetic moment (Bohr magnetons per cell) = 0.0

a = 5.4749 Å, b = 5.4749 Å, c = 3.3832 Å
α = 90.00°, β = 90.00°, γ = 110.82°
Last column: nearest neighbours and their distance in Å.
Element x y z (fractional)
Zn1 0.0000 0.0000 0.0000  4 C 2.19
Zn2 0.0000 0.5000 0.0000  6 C 2.46-2.74, 2 Zn 2.74
Zn3 0.5000 0.0000 0.0000  6 C 2.46-2.74, 2 Zn 2.74
Zn4 0.3038 0.3038 0.5000  2 C 2.09
Zn5 0.6962 0.6962 0.5000  2 C 2.09
C1 0.5000 0.5000 0.0000  4 Zn 2.09
C2 0.8465 0.1535 0.5000  4 Zn 2.19-2.34
C3 0.1535 0.8465 0.5000  4 Zn 2.19-2.34

Version x
A plane-wave DFT calculation with GGA-PBE was carried out for a geometry-optimized Zn5C3 structure.

Properties
- volume (Å³/atom) = 11.835
- total magnetic moment (Bohr magnetons per cell) = 0.0

a = 8.0033 Å, b = 6.3849 Å, c = 6.3850 Å
α = 77.62°, β = 51.19°, γ = 51.19°
Last column: nearest neighbours and their distance in Å.
Element x y z (fractional)
Zn1 0.7506 0.7490 0.7494  4 C 2.24
Zn2 0.2506 0.2490 0.2494  4 C 2.24
Zn3 0.7958 0.9199 0.0818  4 C 2.19-2.29, 1 Zn 2.45
Zn4 0.2022 0.0812 0.9202  4 C 2.19-2.29, 1 Zn 2.45
Zn5 0.7028 0.4192 0.5810  4 C 2.19-2.29, 1 Zn 2.45
Zn6 0.2965 0.5807 0.4197  4 C 2.19-2.29, 1 Zn 2.45
Zn7 0.5798 0.7036 0.2978  4 C 2.19-2.29, 1 Zn 2.45
Zn8 0.4182 0.2975 0.7042  4 C 2.19-2.29, 1 Zn 2.45
Zn9 0.0804 0.7968 0.2035  4 C 2.19-2.29, 1 Zn 2.45
Zn10 0.9189 0.2031 0.7973  4 C 2.19-2.29, 1 Zn 2.45
C1 0.2501 0.7494 0.7499  8 Zn 2.29
C2 0.7501 0.2494 0.2499  8 Zn 2.29
C3 0.3523 0.8499 0.1477  6 Zn 2.19-2.24
C4 0.6497 0.1473 0.8503  6 Zn 2.19-2.24
C5 0.1496 0.3500 0.6478  6 Zn 2.19-2.24
C6 0.8522 0.6474 0.3504  6 Zn 2.19-2.24

The structure with the most favorable energy is version x; the runner-up is 0.088 eV/atom above it.

Version w
A plane-wave DFT calculation with GGA-PBE was carried out for a geometry-optimized Zn5C4 structure.

Properties
- volume (Å³/atom) = 11.717
- total magnetic moment (Bohr magnetons per cell) = 0.0

a = 6.9120 Å, b = 6.9120 Å, c = 5.0974 Å
α = 90.00°, β = 90.00°, γ = 120.00°
Last column: nearest neighbours and their distance in Å.
Element x y z (fractional)
Zn1 0.0000 0.7637 0.2500  3 C 2.00-2.07
Zn2 0.2363 0.2363 0.2500  3 C 2.00-2.07
Zn3 0.7637 0.0000 0.2500  3 C 2.00-2.07
Zn4 0.0000 0.2363 0.7500  3 C 2.00-2.07
Zn5 0.7637 0.7637 0.7500  3 C 2.00-2.07
Zn6 0.2363 0.0000 0.7500  3 C 2.00-2.07
Zn7 0.6667 0.3333 0.0000  6 C 2.37, 2 Zn 2.55
Zn8 0.3333 0.6667 0.5000  6 C 2.37, 2 Zn 2.55
Zn9 0.3333 0.6667 0.0000  6 C 2.37, 2 Zn 2.55
Zn10 0.6667 0.3333 0.5000  6 C 2.37, 2 Zn 2.55
C1 0.0000 0.0000 0.0000  6 Zn 2.07
C2 0.0000 0.0000 0.5000  6 Zn 2.07
C3 0.0000 0.4746 0.2500  1 Zn 2.00
C4 0.5254 0.5254 0.2500  1 Zn 2.00
C5 0.4746 0.0000 0.2500  1 Zn 2.00
C6 0.0000 0.5254 0.7500  1 Zn 2.00
C7 0.4746 0.4746 0.7500  1 Zn 2.00
C8 0.5254 0.0000 0.7500  1 Zn 2.00

Version x
A plane-wave DFT calculation with GGA-PBE was carried out for a geometry-optimized Zn5C4 structure.

Properties
- volume (Å³/atom) = 13.655
- total magnetic moment (Bohr magnetons per cell) = 0.0

a = 7.2098 Å, b = 7.2098 Å, c = 7.2098 Å
α = 91.63°, β = 91.63°, γ = 160.57°
Last column: nearest neighbours and their distance in Å.
Element x y z (fractional)
Zn1 0.0000 0.0000 0.0000  10 Zn 2.43-2.68
Zn2 0.6682 0.3318 0.0000  6 Zn 2.43-2.68
Zn3 0.3318 0.6682 0.0000  6 Zn 2.43-2.68
Zn4 0.3318 0.3318 0.6636  6 Zn 2.43-2.68
Zn5 0.6682 0.6682 0.3364  6 Zn 2.43-2.68
C1 0.5889 0.0000 0.5889  5 C 1.75-1.79
C2 0.4111 0.0000 0.4111  5 C 1.75-1.79
C3 0.0000 0.4111 0.4111  5 C 1.75-1.79
C4 0.0000 0.5889 0.5889  5 C 1.75-1.79

The structure with the most favorable energy is version w; the runner-up is 0.029 eV/atom above it.